Entry 1:
The following is a DFT calculation (PBEsol) of an optimized crystal structure of ZnSO3.

The space group is Pm-3m (No. 221) and the conventional cell measures 3.764, 3.764 and 3.764 Å, with angles of 90.00, 90.00 and 90.00 degrees. The asymmetric unit holds Zn at (0.000, 0.000, 0.000), S at (0.500, 0.500, 0.500) and O at (0.000, 0.000, 0.500).

The value obtained for the formation energy from raw total energies is 0.456 eV per atom. Its density of states at the Fermi level is 0.76 states/eV per atom. For the total magnetization, the calculation gives 0.00 μB per atom.


Entry 2:
The following is a DFT calculation (PBEsol) of an optimized crystal structure of Ca3CuSi.

The space group is Pm-3m (No. 221) and the conventional cell measures 5.242, 5.242 and 5.242 Å, with angles of 90.00, 90.00 and 90.00 degrees. The asymmetric unit holds Ca at (0.000, 0.000, 0.500), Cu at (0.000, 0.000, 0.000) and Si at (0.500, 0.500, 0.500).

The value obtained for the formation energy from raw total energies is 0.185 eV per atom. Its density of states at the Fermi level is 0.38 states/eV per atom. For the total magnetization, the calculation gives 0.00 μB per atom.


Entry 3:
The following is a DFT calculation (PBEsol) of an optimized crystal structure of TaRe2Mo.

The space group is C2/m (No. 12) and the conventional cell measures 5.423, 8.842 and 2.732 Å, with angles of 90.00, 109.88 and 90.00 degrees. The asymmetric unit holds Ta at (0.000, 0.000, 0.000), Re at (0.250, 0.250, 0.500) and Mo at (0.000, 0.500, 0.000).

The value obtained for the formation energy is -65 meV per atom. Its density of states at the Fermi level is 0.67 states/eV per atom. For the total magnetization, the calculation gives 0.00 μB per atom. The value obtained for the relative energy among the computed polymorphs is 0.0751 eV per atom.


Entry 4:
The following is a DFT calculation (PBEsol) of an optimized crystal structure of InSiRu.

The space group is F-43m (No. 216) and the conventional cell measures 5.972, 5.972 and 5.972 Å, with angles of 90.00, 90.00 and 90.00 degrees. The asymmetric unit holds In at (0.000, 0.000, 0.000), Si at (0.000, 0.000, 0.500) and Ru at (0.250, 0.250, 0.250).

The value obtained for the formation energy from raw total energies is 0.069 eV per atom. Its density of states at the Fermi level is 0.55 states/eV per atom. For the total magnetization, the calculation gives 0.00 μB per atom.